Entry one
Material: PmErRh
Method: DFT, PBE
State: relaxed

CIF file:
```
data_PmErRh
_chemical_formula_sum 'Pm1 Er1 Rh1'
_space_group_name_H-M_alt 'P 1'
_space_group_IT_number 1
_space_group_name_Hall 'P 1'
_cell_length_a 4.850
_cell_length_b 4.850
_cell_length_c 4.850
_cell_angle_alpha 60.00
_cell_angle_beta 60.00
_cell_angle_gamma 60.00
loop_
_atom_site_label
_atom_site_type_symbol
_atom_site_fract_x
_atom_site_fract_y
_atom_site_fract_z
_atom_site_occupancy
Pm1 Pm 0.000 0.000 0.000 1
Er1 Er 0.500 0.500 0.500 1
Rh1 Rh 0.250 0.250 0.250 1
```

Results
M_tot in μB/cell: 0.0

Entry two
Material: PmErRh
Method: DFT, PBE
State: relaxed

CIF file:
```
data_PmErRh
_chemical_formula_sum 'Pm1 Er1 Rh1'
_space_group_name_H-M_alt 'P 1'
_space_group_IT_number 1
_space_group_name_Hall 'P 1'
_cell_length_a 4.048
_cell_length_b 4.048
_cell_length_c 6.218
_cell_angle_alpha 90.00
_cell_angle_beta 90.00
_cell_angle_gamma 120.00
loop_
_atom_site_label
_atom_site_type_symbol
_atom_site_fract_x
_atom_site_fract_y
_atom_site_fract_z
_atom_site_occupancy
Pm1 Pm 0.000 0.000 0.000 1
Er1 Er 0.333 0.667 0.479 1
Rh1 Rh 0.667 0.333 0.251 1
```

Results
M_tot in μB/cell: 0.0

entry one is favored, and the nearest alternative lies 51 meV per atom above it.

Entry one
Material: Pm3ErRh
Method: DFT, PBE
State: relaxed

CIF file:
```
data_Pm3ErRh
_chemical_formula_sum 'Pm6 Er2 Rh2'
_space_group_name_H-M_alt 'P 1'
_space_group_IT_number 1
_space_group_name_Hall 'P 1'
_cell_length_a 7.383
_cell_length_b 7.383
_cell_length_c 7.166
_cell_angle_alpha 118.46
_cell_angle_beta 118.46
_cell_angle_gamma 76.20
loop_
_atom_site_label
_atom_site_type_symbol
_atom_site_fract_x
_atom_site_fract_y
_atom_site_fract_z
_atom_site_occupancy
Pm1 Pm 0.041 0.041 0.291 1
Pm2 Pm 0.091 0.501 0.807 1
Pm3 Pm 0.499 0.909 0.193 1
Pm4 Pm 0.549 0.367 0.710 1
Pm5 Pm 0.633 0.451 0.290 1
Pm6 Pm 0.959 0.959 0.709 1
Er1 Er 0.094 0.502 0.274 1
Er2 Er 0.498 0.906 0.726 1
Rh1 Rh 0.296 0.205 0.998 1
Rh2 Rh 0.795 0.704 0.002 1
```

Results
M_tot in μB/cell: 0.0

Entry two
Material: Pm3ErRh
Method: DFT, PBE
State: relaxed

CIF file:
```
data_Pm3ErRh
_chemical_formula_sum 'Pm3 Er1 Rh1'
_space_group_name_H-M_alt 'P 1'
_space_group_IT_number 1
_space_group_name_Hall 'P 1'
_cell_length_a 5.529
_cell_length_b 5.529
_cell_length_c 5.529
_cell_angle_alpha 90.00
_cell_angle_beta 90.00
_cell_angle_gamma 90.00
loop_
_atom_site_label
_atom_site_type_symbol
_atom_site_fract_x
_atom_site_fract_y
_atom_site_fract_z
_atom_site_occupancy
Pm1 Pm 0.000 0.000 0.500 1
Pm2 Pm 0.000 0.500 0.000 1
Pm3 Pm 0.500 0.000 0.000 1
Er1 Er 0.500 0.500 0.500 1
Rh1 Rh 0.000 0.000 0.000 1
```

Results
M_tot in μB/cell: 0.0

entry one is favored, and the nearest alternative lies 196 meV per atom above it.

Entry one
Material: PmErTlRh
Method: DFT, PBE
State: relaxed

CIF file:
```
data_PmErTlRh
_chemical_formula_sum 'Pm1 Er1 Tl1 Rh1'
_space_group_name_H-M_alt 'P 1'
_space_group_IT_number 1
_space_group_name_Hall 'P 1'
_cell_length_a 5.163
_cell_length_b 5.163
_cell_length_c 5.163
_cell_angle_alpha 60.00
_cell_angle_beta 60.00
_cell_angle_gamma 60.00
loop_
_atom_site_label
_atom_site_type_symbol
_atom_site_fract_x
_atom_site_fract_y
_atom_site_fract_z
_atom_site_occupancy
Pm1 Pm 0.000 0.000 0.000 1
Er1 Er 0.500 0.500 0.500 1
Tl1 Tl 0.250 0.250 0.250 1
Rh1 Rh 0.750 0.750 0.750 1
```

Results
M_tot in μB/cell: 0.0

Entry two
Material: PmErTlRh
Method: DFT, PBE
State: relaxed

CIF file:
```
data_PmErTlRh
_chemical_formula_sum 'Pm1 Er1 Tl1 Rh1'
_space_group_name_H-M_alt 'P 1'
_space_group_IT_number 1
_space_group_name_Hall 'P 1'
_cell_length_a 3.518
_cell_length_b 3.518
_cell_length_c 7.883
_cell_angle_alpha 90.00
_cell_angle_beta 90.00
_cell_angle_gamma 90.00
loop_
_atom_site_label
_atom_site_type_symbol
_atom_site_fract_x
_atom_site_fract_y
_atom_site_fract_z
_atom_site_occupancy
Pm1 Pm 0.000 0.000 0.000 1
Er1 Er 0.000 0.000 0.576 1
Tl1 Tl 0.500 0.500 0.298 1
Rh1 Rh 0.500 0.500 0.769 1
```

Results
M_tot in μB/cell: 0.0

entry two is favored, and the nearest alternative lies 131 meV per atom above it.

Entry one
Material: Pm3ErRu
Method: DFT, PBE
State: relaxed

CIF file:
```
data_Pm3ErRu
_chemical_formula_sum 'Pm6 Er2 Ru2'
_space_group_name_H-M_alt 'P 1'
_space_group_IT_number 1
_space_group_name_Hall 'P 1'
_cell_length_a 7.445
_cell_length_b 7.445
_cell_length_c 7.445
_cell_angle_alpha 101.19
_cell_angle_beta 119.34
_cell_angle_gamma 108.42
loop_
_atom_site_label
_atom_site_type_symbol
_atom_site_fract_x
_atom_site_fract_y
_atom_site_fract_z
_atom_site_occupancy
Pm1 Pm 0.248 0.040 0.288 1
Pm2 Pm 0.248 0.460 0.708 1
Pm3 Pm 0.728 0.997 0.230 1
Pm4 Pm 0.752 0.540 0.292 1
Pm5 Pm 0.752 0.960 0.712 1
Pm6 Pm 0.767 0.497 0.770 1
Er1 Er 0.226 0.503 0.223 1
Er2 Er 0.280 0.003 0.777 1
Ru1 Ru 0.244 0.750 0.994 1
Ru2 Ru 0.756 0.250 0.006 1
```

Results
M_tot in μB/cell: 0.0

Entry two
Material: Pm3ErRu
Method: DFT, PBE
State: relaxed

CIF file:
```
data_Pm3ErRu
_chemical_formula_sum 'Pm3 Er1 Ru1'
_space_group_name_H-M_alt 'P 1'
_space_group_IT_number 1
_space_group_name_Hall 'P 1'
_cell_length_a 5.491
_cell_length_b 5.491
_cell_length_c 5.491
_cell_angle_alpha 90.00
_cell_angle_beta 90.00
_cell_angle_gamma 90.00
loop_
_atom_site_label
_atom_site_type_symbol
_atom_site_fract_x
_atom_site_fract_y
_atom_site_fract_z
_atom_site_occupancy
Pm1 Pm 0.000 0.000 0.500 1
Pm2 Pm 0.000 0.500 0.000 1
Pm3 Pm 0.500 0.000 0.000 1
Er1 Er 0.500 0.500 0.500 1
Ru1 Ru 0.000 0.000 0.000 1
```

Results
M_tot in μB/cell: 0.0

entry one is favored, and the nearest alternative lies 174 meV per atom above it.

Entry one
Material: PmErRu
Method: DFT, PBE
State: relaxed

CIF file:
```
data_PmErRu
_chemical_formula_sum 'Pm1 Er1 Ru1'
_space_group_name_H-M_alt 'P 1'
_space_group_IT_number 1
_space_group_name_Hall 'P 1'
_cell_length_a 7.018
_cell_length_b 7.018
_cell_length_c 7.018
_cell_angle_alpha 151.76
_cell_angle_beta 151.76
_cell_angle_gamma 40.37
loop_
_atom_site_label
_atom_site_type_symbol
_atom_site_fract_x
_atom_site_fract_y
_atom_site_fract_z
_atom_site_occupancy
Pm1 Pm 0.000 0.000 0.000 1
Er1 Er 0.747 0.747 0.000 1
Ru1 Ru 0.367 0.367 0.000 1
```

Results
M_tot in μB/cell: 0.0

Entry two
Material: PmErRu
Method: DFT, PBE
State: relaxed

CIF file:
```
data_PmErRu
_chemical_formula_sum 'Pm1 Er1 Ru1'
_space_group_name_H-M_alt 'P 1'
_space_group_IT_number 1
_space_group_name_Hall 'P 1'
_cell_length_a 4.735
_cell_length_b 4.735
_cell_length_c 3.651
_cell_angle_alpha 90.00
_cell_angle_beta 90.00
_cell_angle_gamma 120.00
loop_
_atom_site_label
_atom_site_type_symbol
_atom_site_fract_x
_atom_site_fract_y
_atom_site_fract_z
_atom_site_occupancy
Pm1 Pm 0.000 0.000 0.000 1
Er1 Er 0.667 0.333 0.547 1
Ru1 Ru 0.333 0.667 0.310 1
```

Results
M_tot in μB/cell: 0.0

entry one is favored, and the nearest alternative lies 187 meV per atom above it.

Entry one
Material: PmErRu
Method: DFT, PBE
State: relaxed

CIF file:
```
data_PmErRu
_chemical_formula_sum 'Pm4 Er4 Ru4'
_space_group_name_H-M_alt 'P 1'
_space_group_IT_number 1
_space_group_name_Hall 'P 1'
_cell_length_a 6.909
_cell_length_b 6.970
_cell_length_c 7.243
_cell_angle_alpha 90.00
_cell_angle_beta 110.77
_cell_angle_gamma 90.00
loop_
_atom_site_label
_atom_site_type_symbol
_atom_site_fract_x
_atom_site_fract_y
_atom_site_fract_z
_atom_site_occupancy
Pm1 Pm 0.215 0.172 0.071 1
Pm2 Pm 0.215 0.328 0.571 1
Pm3 Pm 0.785 0.672 0.429 1
Pm4 Pm 0.785 0.828 0.929 1
Er1 Er 0.278 0.669 0.991 1
Er2 Er 0.278 0.831 0.491 1
Er3 Er 0.722 0.169 0.509 1
Er4 Er 0.722 0.331 0.009 1
Ru1 Ru 0.043 0.562 0.216 1
Ru2 Ru 0.043 0.938 0.716 1
Ru3 Ru 0.957 0.062 0.284 1
Ru4 Ru 0.957 0.438 0.784 1
```

Results
M_tot in μB/cell: 0.0

Entry two
Material: PmErRu
Method: DFT, PBE
State: relaxed

CIF file:
```
data_PmErRu
_chemical_formula_sum 'Pm1 Er1 Ru1'
_space_group_name_H-M_alt 'P 1'
_space_group_IT_number 1
_space_group_name_Hall 'P 1'
_cell_length_a 4.817
_cell_length_b 4.817
_cell_length_c 4.817
_cell_angle_alpha 60.00
_cell_angle_beta 60.00
_cell_angle_gamma 60.00
loop_
_atom_site_label
_atom_site_type_symbol
_atom_site_fract_x
_atom_site_fract_y
_atom_site_fract_z
_atom_site_occupancy
Pm1 Pm 0.000 0.000 0.000 1
Er1 Er 0.500 0.500 0.500 1
Ru1 Ru 0.250 0.250 0.250 1
```

Results
M_tot in μB/cell: 0.0

entry two is favored, and the nearest alternative lies 52 meV per atom above it.